NaCaMg2Ge | meta-GGA SCAN | PBEsol geometry

Calculated formation energy   -0.08 eV/f.u.
Crystal system   tetragonal
Spin magnetization   0.000 μB/f.u.

Cell and atoms, written as CIF:
```
data_NaCaMg2Ge
_space_group_name_H-M_alt 'P 4/m m m'
_space_group_IT_number 123
_space_group_name_Hall '-P 4 2'
_cell_length_a 5.194
_cell_length_b 5.194
_cell_length_c 5.672
_cell_angle_alpha 90.00
_cell_angle_beta 90.00
_cell_angle_gamma 90.00
loop_
_atom_site_label
_atom_site_type_symbol
_atom_site_fract_x
_atom_site_fract_y
_atom_site_fract_z
_atom_site_occupancy
Na1 Na 0.000 0.000 0.000 1
Ca1 Ca 0.500 0.500 0.000 1
Mg1 Mg 0.000 0.500 0.500 1
Ge1 Ge 0.500 0.500 0.500 1
```